An optimized crystal structure of FeTeO. Source: Alexandria, functional PBE+U.

Calculated values
DFT total energy   -0.3908 Ry per atom

a = 2.932 Å, b = 2.932 Å, c = 7.327 Å
α = 90.01°, β = 89.98°, γ = 89.97°
Fractional positions:
1 Fe 0.742 0.880 0.121
2 Te 0.740 0.884 0.621
3 O 0.242 0.380 0.121